Entry 1:
DFT (PBE-GGA) results for crystalline Li15Pd2Au2 at its relaxed geometry.

```
Li15Pd2Au2
1.0
3.877 2.238 5.738
-3.877 2.238 5.738
0.000 -4.476 5.738
Li Pd Au
15 2 2
direct
0.000 0.000 0.500
0.000 0.295 0.705
0.000 0.500 0.000
0.000 0.705 0.295
0.190 0.560 0.560
0.295 0.000 0.705
0.295 0.705 0.000
0.440 0.440 0.810
0.440 0.810 0.440
0.500 0.000 0.000
0.560 0.190 0.560
0.560 0.560 0.190
0.705 0.000 0.295
0.705 0.295 0.000
0.810 0.440 0.440
0.084 0.084 0.084
0.916 0.916 0.916
0.292 0.292 0.292
0.708 0.708 0.708
```

Results
energy of formation from the pure elements: -0.16 eV/atom
total magnetic moment: 0.000 μB/atom

Entry 2:
DFT (PBE-GGA) results for crystalline ScP3I at its relaxed geometry.

```
ScP3I
1.0
5.016 0.000 0.000
0.000 5.016 0.000
0.000 0.000 5.016
Sc P I
1 3 1
direct
0.000 0.000 0.000
0.000 0.500 0.500
0.500 0.000 0.500
0.500 0.500 0.000
0.500 0.500 0.500
```

Results
polymorph energy (0 for the lowest one): 2.58 eV/f.u.
total magnetic moment: 0.000 μB/atom